Record 1
Here is a relaxed BCSe2Br crystal from the Alexandria database. Energies are from PBE.

The calculated volume comes out at 141.7 Å³/cell. The total magnetic moment comes out at 0.0 μB/cell. As for the calculated total energy: -3.138 eV/atom. The uncorrected formation energy is 1.7702 eV per atom. As for the energy above the lowest structure with this stoichiometry: 0.0 meV per atom.

Cell lengths 4.1274, 4.1274, 8.3179 Å; angles 90.00, 90.00, 90.00 degrees
Sites, in units of the cell vectors:
B1 0.0000 0.0000 0.0000
C1 0.5000 0.5000 0.5000
Se1 0.0000 0.5000 0.5000
Se2 0.5000 0.0000 0.5000
Br1 0.5000 0.5000 0.0000

---

Record 2
Here is a relaxed Si2NiAu crystal from the Alexandria database. Energies are from PBE.

The calculated volume comes out at 58.1 Å³/cell. The total magnetic moment comes out at 0.0 μB/cell. As for the calculated total energy: -4.908 eV/atom. The uncorrected formation energy is 0.0679 eV per atom.

Cell lengths 2.7506, 2.7506, 7.6752 Å; angles 90.00, 90.00, 90.00 degrees
Sites, in units of the cell vectors:
Si1 0.0000 0.0000 0.1992
Si2 0.0000 0.0000 0.8008
Ni1 0.5000 0.5000 0.0000
Au1 0.5000 0.5000 0.5000

---

Record 3
Here is a relaxed In2Cu2Pt15 crystal from the Alexandria database. Energies are from PBE.

The calculated volume comes out at 330.0 Å³/cell. The total magnetic moment comes out at 0.0 μB/cell. As for the calculated total energy: -5.507 eV/atom. For the formation energy, the calculation gives -0.3 eV/f.u.

Cell lengths 6.9724, 6.9724, 6.9724 Å; angles 82.04, 82.04, 82.04 degrees
Sites, in units of the cell vectors:
In1 0.1524 0.1524 0.1524
In2 0.8476 0.8476 0.8476
Cu1 0.3906 0.3906 0.3906
Cu2 0.6094 0.6094 0.6094
Pt1 0.0000 0.5000 0.5000
Pt2 0.1616 0.5000 0.8384
Pt3 0.1616 0.8384 0.5000
Pt4 0.1698 0.1698 0.6696
Pt5 0.1698 0.6696 0.1698
Pt6 0.3304 0.8302 0.8302
Pt7 0.5000 0.0000 0.5000
Pt8 0.5000 0.1616 0.8384
Pt9 0.5000 0.5000 0.0000
Pt10 0.5000 0.8384 0.1616
Pt11 0.6696 0.1698 0.1698
Pt12 0.8302 0.3304 0.8302
Pt13 0.8302 0.8302 0.3304
Pt14 0.8384 0.1616 0.5000
Pt15 0.8384 0.5000 0.1616

---

Record 4
Here is a relaxed Nb2NiBi2S6 crystal from the Alexandria database. Energies are from PBE.

The calculated volume comes out at 241.7 Å³/cell. The total magnetic moment comes out at 0.6 μB/cell. As for the calculated total energy: -5.816 eV/atom. The uncorrected formation energy is -0.5027 eV per atom.

Cell lengths 6.1038, 6.1038, 7.9380 Å; angles 98.13, 98.13, 121.40 degrees
Sites, in units of the cell vectors:
Nb1 0.1404 0.8596 0.0000
Nb2 0.8596 0.1404 0.0000
Ni1 0.5000 0.5000 0.0000
Bi1 0.1938 0.8062 0.5000
Bi2 0.8062 0.1938 0.5000
S1 0.1175 0.1175 0.7975
S2 0.2395 0.5822 0.1825
S3 0.4178 0.7605 0.8175
S4 0.5822 0.2395 0.1825
S5 0.7605 0.4178 0.8175
S6 0.8825 0.8825 0.2025

---

Please write out number 4 again, unchanged.
Here is a relaxed Nb2NiBi2S6 crystal from the Alexandria database. Energies are from PBE.

The calculated volume comes out at 241.7 Å³/cell. The total magnetic moment comes out at 0.6 μB/cell. As for the calculated total energy: -5.816 eV/atom. The uncorrected formation energy is -0.5027 eV per atom.

Cell lengths 6.1038, 6.1038, 7.9380 Å; angles 98.13, 98.13, 121.40 degrees
Sites, in units of the cell vectors:
Nb1 0.1404 0.8596 0.0000
Nb2 0.8596 0.1404 0.0000
Ni1 0.5000 0.5000 0.0000
Bi1 0.1938 0.8062 0.5000
Bi2 0.8062 0.1938 0.5000
S1 0.1175 0.1175 0.7975
S2 0.2395 0.5822 0.1825
S3 0.4178 0.7605 0.8175
S4 0.5822 0.2395 0.1825
S5 0.7605 0.4178 0.8175
S6 0.8825 0.8825 0.2025

---

- What is the formula in the fourth record?
  Nb2NiBi2S6

---

- Which of these has the lowest calculated volume?
  Si2NiAu

---

- Among the records above, which one has the lowest calculated total energy?
  Nb2NiBi2S6